Entry 1:
An optimized crystal structure of Nd6DyTl6, computed with GGA-PBE.

abc: 6.5400 6.5400 10.9806
angles: 90.00 90.00 120.00
Space group P6/mmm (No. 191)
Inequivalent atoms, fractional coordinates:
Nd (0.0000, 0.0000, 0.1686) [2 per cell]
Nd (0.3333, 0.6667, 0.0000) [2 per cell]
Nd (0.3333, 0.6667, 0.5000) [2 per cell]
Dy (0.0000, 0.0000, 0.5000) [1 per cell]
Tl (0.0000, 0.5000, 0.2533) [6 per cell]

Results
Density of states at the Fermi level: 1.21 states/eV per atom
Calculated volume: 31.3 A^3/atom
Formation energy from the elements: -0.211 eV/atom

***

Entry 2:
An optimized crystal structure of Nd2Dy3Tl6, computed with GGA-PBE.

abc: 5.9740 5.9740 22.6378
angles: 90.00 90.00 90.00
Space group I4/mmm (No. 139)
Inequivalent atoms, fractional coordinates:
Nd (0.0000, 0.0000, 0.0815) [4 per cell]
Dy (0.0000, 0.0000, 0.3603) [4 per cell]
Dy (0.0000, 0.0000, 0.5000) [2 per cell]
Tl (0.0000, 0.0000, 0.2227) [4 per cell]
Tl (0.0000, 0.5000, 0.0705) [8 per cell]

Results
Density of states at the Fermi level: 1.23 states/eV per atom
Calculated volume: 36.7 A^3/atom
Formation energy from the elements: 0.146 eV/atom

***

Copy entry 1 word for word.
An optimized crystal structure of Nd6DyTl6, computed with GGA-PBE.

abc: 6.5400 6.5400 10.9806
angles: 90.00 90.00 120.00
Space group P6/mmm (No. 191)
Inequivalent atoms, fractional coordinates:
Nd (0.0000, 0.0000, 0.1686) [2 per cell]
Nd (0.3333, 0.6667, 0.0000) [2 per cell]
Nd (0.3333, 0.6667, 0.5000) [2 per cell]
Dy (0.0000, 0.0000, 0.5000) [1 per cell]
Tl (0.0000, 0.5000, 0.2533) [6 per cell]

Results
Density of states at the Fermi level: 1.21 states/eV per atom
Calculated volume: 31.3 A^3/atom
Formation energy from the elements: -0.211 eV/atom